Sc3SiC after structural relaxation, computed with PBE-GGA.

The formation energy (no corrections) is -0.53 eV per atom. The calculation puts the size of the total moment at 0.000 Bohr magnetons per cell.

The space group is C2/m (No. 12) and the conventional cell measures 10.545, 4.512 and 7.628 Å, with angles of 90.00, 101.40 and 90.00 degrees. The asymmetric unit holds Sc at (0.076, 0.000, 0.184), Sc at (0.149, 0.500, 0.924), Sc at (0.161, 0.000, 0.617), Si at (0.070, 0.500, 0.386) and C at (0.140, 0.000, 0.917).

=====

Sc3SiC after structural relaxation, computed with PBE-GGA.

The formation energy (no corrections) is -0.24 eV per atom. The calculation puts the size of the total moment at 6.252 Bohr magnetons per cell.

The space group is Fd-3m (No. 227, origin choice 2) and the conventional cell measures 11.735, 11.735 and 11.735 Å, with angles of 90.00, 90.00 and 90.00 degrees. The asymmetric unit holds Sc at (0.080, 0.375, 0.375), Si at (0.000, 0.000, 0.500) and C at (0.000, 0.000, 0.000).

=====

Sc3SiC after structural relaxation, computed with PBE-GGA.

The formation energy (no corrections) is -0.53 eV per atom. The calculation puts the size of the total moment at 0.001 Bohr magnetons per cell.

The space group is Cmce (No. 64) and the conventional cell measures 8.965, 13.833 and 5.593 Å, with angles of 90.00, 90.00 and 90.00 degrees. The asymmetric unit holds Sc at (0.000, 0.054, 0.241), Sc at (0.000, 0.247, 0.504), Sc at (0.250, 0.113, 0.750), Si at (0.250, 0.170, 0.250) and C at (0.000, 0.108, 0.766).

=====

Sc3SiC after structural relaxation, computed with PBE-GGA.

The formation energy (no corrections) is -0.50 eV per atom. The calculation puts the size of the total moment at 0.000 Bohr magnetons per cell.

The space group is C2/c (No. 15) and the conventional cell measures 10.711, 12.019 and 5.663 Å, with angles of 90.00, 95.57 and 90.00 degrees. The asymmetric unit holds Sc at (0.093, 0.137, 0.071), Sc at (0.119, 0.431, 0.103), Sc at (0.122, 0.300, 0.588), Si at (0.171, 0.079, 0.556), C at (0.000, 0.287, 0.250) and C at (0.000, 0.428, 0.750).

=====

Sc3SiC after structural relaxation, computed with PBE-GGA.

The formation energy (no corrections) is -0.56 eV per atom. The calculation puts the size of the total moment at 0.010 Bohr magnetons per cell.

The space group is C2/m (No. 12) and the conventional cell measures 10.969, 3.528 and 9.235 Å, with angles of 90.00, 100.85 and 90.00 degrees. The asymmetric unit holds Sc at (0.120, 0.000, 0.201), Sc at (0.141, 0.500, 0.910), Sc at (0.163, 0.000, 0.611), Si at (0.042, 0.500, 0.391) and C at (0.242, 0.500, 0.151).

=====

Sc3SiC after structural relaxation, computed with PBE-GGA.

The formation energy (no corrections) is -0.44 eV per atom. The calculation puts the size of the total moment at 0.000 Bohr magnetons per cell.

The space group is C2/c (No. 15) and the conventional cell measures 12.323, 9.183 and 6.278 Å, with angles of 90.00, 94.43 and 90.00 degrees. The asymmetric unit holds Sc at (0.114, 0.097, 0.122), Sc at (0.126, 0.440, 0.911), Sc at (0.215, 0.180, 0.685), Si at (0.000, 0.172, 0.750), Si at (0.000, 0.333, 0.250) and C at (0.250, 0.059, 0.370).

=====

Sc3SiC after structural relaxation, computed with PBE-GGA.

The formation energy (no corrections) is -0.54 eV per atom. The calculation puts the size of the total moment at 1.201 Bohr magnetons per cell.

The space group is Immm (No. 71) and the conventional cell measures 3.343, 9.074 and 11.639 Å, with angles of 90.00, 90.00 and 90.00 degrees. The asymmetric unit holds Sc at (0.000, 0.000, 0.000), Sc at (0.000, 0.228, 0.369), Sc at (0.000, 0.500, 0.000), Si at (0.000, 0.500, 0.256) and C at (0.000, 0.252, 0.000).

=====

Sc3SiC after structural relaxation, computed with PBE-GGA.

The formation energy (no corrections) is 0.14 eV per atom. The calculation puts the size of the total moment at 0.000 Bohr magnetons per cell.

The space group is I-4m2 (No. 119) and the conventional cell measures 5.196, 5.196 and 15.258 Å, with angles of 90.00, 90.00 and 90.00 degrees. The asymmetric unit holds Sc at (0.000, 0.000, 0.225), Sc at (0.000, 0.252, 0.606), Si at (0.000, 0.500, 0.167), C at (0.000, 0.000, 0.500) and C at (0.000, 0.500, 0.750).

=====

Sc3SiC3 after structural relaxation, computed with PBE-GGA.

The formation energy (no corrections) is -0.47 eV per atom. The calculation puts the size of the total moment at 0.000 Bohr magnetons per cell.

The space group is Cmcm (No. 63) and the conventional cell measures 8.179, 9.835 and 4.649 Å, with angles of 90.00, 90.00 and 90.00 degrees. The asymmetric unit holds Sc at (0.000, 0.106, 0.250), Sc at (0.227, 0.380, 0.250), Si at (0.000, 0.308, 0.750), C at (0.000, 0.116, 0.750) and C at (0.212, 0.377, 0.750).

=====

ScSiC3 after structural relaxation, computed with PBE-GGA.

The value obtained for the distance to the lowest polymorph of the same formula is 1426 meV/atom. The formation energy (no corrections) is 2.54 eV per atom. The calculation puts the size of the total moment at 0.000 Bohr magnetons per cell.

The space group is Pm-3m (No. 221) and the conventional cell measures 4.204, 4.204 and 4.204 Å, with angles of 90.00, 90.00 and 90.00 degrees. The asymmetric unit holds Sc at (0.000, 0.000, 0.000), Si at (0.500, 0.500, 0.500) and C at (0.000, 0.000, 0.500).

=====

Sc2SiC after structural relaxation, computed with PBE-GGA.

The formation energy (no corrections) is 0.72 eV per atom. The calculation puts the size of the total moment at 0.000 Bohr magnetons per cell.

The space group is R-3m (No. 166, hexagonal axes) and the conventional cell measures 3.3591, 3.3591 and 24.3861 Å, with angles of 90.00, 90.00 and 120.00 degrees. The asymmetric unit holds Sc at (0.0000, 0.0000, 0.0868), Si at (0.0000, 0.0000, 0.5000) and C at (0.0000, 0.0000, 0.0000).

=====

Sc3SiC after structural relaxation, computed with PBE-GGA.

The formation energy (no corrections) is -0.48 eV per atom. The calculation puts the size of the total moment at 0.000 Bohr magnetons per cell.

The space group is R-3 (No. 148, hexagonal axes) and the conventional cell measures 6.0954, 6.0954 and 17.4745 Å, with angles of 90.00, 90.00 and 120.00 degrees. The asymmetric unit holds Sc at (0.0013, 0.4193, 0.4189), Si at (0.0000, 0.0000, 0.3725) and C at (0.0000, 0.0000, 0.1654).

=====

Sc2SiC after structural relaxation, computed with PBE-GGA.

The formation energy (no corrections) is 0.30 eV per atom. The calculation puts the size of the total moment at 0.000 Bohr magnetons per cell.

The space group is Fm-3m (No. 225) and the conventional cell measures 6.315, 6.315 and 6.315 Å, with angles of 90.00, 90.00 and 90.00 degrees. The asymmetric unit holds Sc at (0.250, 0.250, 0.250), Si at (0.000, 0.000, 0.000) and C at (0.000, 0.000, 0.500).

=====

Sc3SiC after structural relaxation, computed with PBE-GGA.

The formation energy (no corrections) is 0.34 eV per atom. The calculation puts the size of the total moment at 0.000 Bohr magnetons per cell.

The space group is R3m (No. 160, hexagonal axes) and the conventional cell measures 7.1911, 7.1911 and 9.4846 Å, with angles of 90.00, 90.00 and 120.00 degrees. The asymmetric unit holds Sc at (0.0412, 0.5206, 0.0000), Si at (0.0000, 0.0000, 0.5431) and C at (0.0000, 0.0000, 0.2258).

=====

Sc3SiC after structural relaxation, computed with PBE-GGA.

The formation energy (no corrections) is -0.51 eV per atom. The calculation puts the size of the total moment at 3.087 Bohr magnetons per cell.

The space group is Cm (No. 8) and the conventional cell measures 12.599, 3.510 and 7.913 Å, with angles of 90.00, 91.36 and 90.00 degrees. The asymmetric unit holds Sc at (0.000, 0.000, 0.000), Sc at (0.026, 0.500, 0.648), Sc at (0.135, 0.000, 0.334), Sc at (0.215, 0.500, 0.038), Sc at (0.307, 0.500, 0.591), Sc at (0.386, 0.000, 0.282), Si at (0.172, 0.000, 0.762), Si at (0.351, 0.000, 0.865), C at (0.054, 0.500, 0.168) and C at (0.274, 0.500, 0.314).

=====

Sc4SiC after structural relaxation, computed with PBE-GGA.

The formation energy (no corrections) is -0.43 eV per atom. The calculation puts the size of the total moment at 0.006 Bohr magnetons per cell.

The space group is C2/c (No. 15) and the conventional cell measures 7.674, 12.710 and 5.819 Å, with angles of 90.00, 124.67 and 90.00 degrees. The asymmetric unit holds Sc at (0.138, 0.203, 0.151), Sc at (0.239, 0.044, 0.707), Si at (0.000, 0.376, 0.750) and C at (0.000, 0.065, 0.250).

=====

ScSiC2 after structural relaxation, computed with PBE-GGA.

The formation energy (no corrections) is 0.07 eV per atom. The calculation puts the size of the total moment at 0.000 Bohr magnetons per cell.

The space group is I-42d (No. 122) and the conventional cell measures 5.428, 5.428 and 6.318 Å, with angles of 90.00, 90.00 and 90.00 degrees. The asymmetric unit holds Sc at (0.000, 0.000, 0.000), Si at (0.000, 0.000, 0.500) and C at (0.191, 0.250, 0.625).

=====

ScSi3C after structural relaxation, computed with PBE-GGA.

The value obtained for the distance to the lowest polymorph of the same formula is 0 meV/atom. The formation energy (no corrections) is 0.56 eV per atom. The calculation puts the size of the total moment at 0.000 Bohr magnetons per cell.

The space group is Pm-3m (No. 221) and the conventional cell measures 4.144, 4.144 and 4.144 Å, with angles of 90.00, 90.00 and 90.00 degrees. The asymmetric unit holds Sc at (0.000, 0.000, 0.000), Si at (0.000, 0.500, 0.500) and C at (0.500, 0.500, 0.500).

=====

Sc3SiC after structural relaxation, computed with PBE-GGA.

The formation energy (no corrections) is -0.21 eV per atom. The calculation puts the size of the total moment at 0.000 Bohr magnetons per cell.

The space group is Pnma (No. 62) and the conventional cell measures 6.550, 8.862 and 6.617 Å, with angles of 90.00, 90.00 and 90.00 degrees. The asymmetric unit holds Sc at (0.139, 0.078, 0.145), Sc at (0.156, 0.250, 0.679), Si at (0.000, 0.000, 0.500) and C at (0.026, 0.750, 0.027).

=====

Sc3SiC after structural relaxation, computed with PBE-GGA.

The formation energy (no corrections) is -0.53 eV per atom. The calculation puts the size of the total moment at 0.000 Bohr magnetons per cell.

The space group is C2/m (No. 12) and the conventional cell measures 13.560, 3.418 and 9.642 Å, with angles of 90.00, 126.72 and 90.00 degrees. The asymmetric unit holds Sc at (0.123, 0.000, 0.174), Sc at (0.135, 0.500, 0.464), Sc at (0.169, 0.000, 0.794), Si at (0.072, 0.500, 0.900) and C at (0.249, 0.000, 0.647).